[1]
Y2TiHAu, optimized geometry, DFT PBE; theoretical density = 7.32 g cm⁻³; magnetization = 2.7 μB per formula unit; E_tot = -5.834 eV per atom; volume = 96.2 Å³/cell
1.0
-0.414 -3.585 3.431
3.984 1.813 2.375
-2.304 2.292 2.116
H Au Y Ti
1 1 2 1
direct
0.000 0.000 0.000 H
0.500 0.500 0.500 Au
0.000 0.500 0.000 Y
0.500 0.000 0.000 Y
0.000 0.000 0.500 Ti



[2]
TiZn2HAu, optimized geometry, DFT PBE; theoretical density = 9.55 g cm⁻³; magnetization = 0.0 μB per formula unit; E_tot = -3.592 eV per atom; volume = 65.5 Å³/cell
1.0
-3.266 0.245 2.546
2.354 -1.328 3.147
0.918 3.598 0.831
Zn Ti H Au
2 1 1 1
direct
0.500 0.000 0.000 Zn
0.000 0.500 0.000 Zn
0.000 0.000 0.500 Ti
0.000 0.000 0.000 H
0.500 0.500 0.500 Au



[3]
Zr2TiHAu, optimized geometry, DFT PBE; theoretical density = 8.84 g cm⁻³; magnetization = 0.0 μB per formula unit; E_tot = -6.665 eV per atom; volume = 80.4 Å³/cell
1.0
4.390 0.000 0.000
0.000 4.390 0.000
0.000 0.000 4.175
Au Zr Ti H
1 2 1 1
direct
0.500 0.500 0.500 Au
0.000 0.500 0.000 Zr
0.500 0.000 0.000 Zr
0.000 0.000 0.500 Ti
0.000 0.000 0.000 H



[4]
ZrTi2HAu, optimized geometry, DFT PBE; theoretical density = 8.57 g cm⁻³; magnetization = 0.0 μB per formula unit; E_tot = -6.529 eV per atom; volume = 74.6 Å³/cell
1.0
4.166 0.000 0.000
0.000 4.295 0.000
0.000 0.000 4.166
Ti Zr H Au
2 1 1 1
direct
0.500 0.000 0.000 Ti
0.000 0.000 0.500 Ti
0.000 0.500 0.000 Zr
0.000 0.000 0.000 H
0.500 0.500 0.500 Au



[5]
Tl2HAu2, optimized geometry, DFT PBE; excess energy over the best structure of this formula in the dataset = 90 meV per atom; theoretical density = 12.37 g cm⁻³; magnetization = 0.0 μB per formula unit; E_tot = -2.575 eV per atom; volume = 215.7 Å³/cell
1.0
-6.212 1.456 -2.279
-2.540 -5.099 3.667
-0.643 2.925 3.621
Au Tl H
4 4 2
direct
0.859 0.359 0.500 Au
0.641 0.859 0.500 Au
0.359 0.141 0.500 Au
0.141 0.641 0.500 Au
0.684 0.184 0.000 Tl
0.816 0.684 0.000 Tl
0.316 0.816 0.000 Tl
0.184 0.316 0.000 Tl
0.000 0.000 0.000 H
0.500 0.500 0.000 H



[6]
Tl3HAu, optimized geometry, DFT PBE; excess energy over the best structure of this formula in the dataset = 82 meV per atom; theoretical density = 11.65 g cm⁻³; magnetization = 0.0 μB per formula unit; E_tot = -2.520 eV per atom; volume = 115.6 Å³/cell
1.0
4.871 0.000 0.000
0.000 4.871 0.000
0.000 0.000 4.871
H Tl Au
1 3 1
direct
0.000 0.000 0.000 H
0.500 0.000 0.000 Tl
0.000 0.500 0.000 Tl
0.000 0.000 0.500 Tl
0.500 0.500 0.500 Au



[7]
TlHAu2, optimized geometry, DFT PBE; excess energy over the best structure of this formula in the dataset = 0 meV per atom; theoretical density = 12.82 g cm⁻³; magnetization = 0.0 μB per formula unit; E_tot = -2.872 eV per atom; volume = 155.2 Å³/cell
1.0
5.304 0.000 0.000
0.000 5.304 0.000
2.652 2.652 5.517
Au H Tl
4 2 2
direct
0.299 0.625 0.250 Au
0.875 0.701 0.750 Au
0.451 0.125 0.250 Au
0.375 0.549 0.750 Au
0.250 0.750 0.500 H
0.500 0.500 0.000 H
0.000 0.000 0.000 Tl
0.750 0.250 0.500 Tl



[8]
TlH3Au2, optimized geometry, DFT PBE; theoretical density = 11.30 g cm⁻³; magnetization = 0.0 μB per formula unit; E_tot = -2.967 eV per atom; volume = 176.7 Å³/cell
1.0
5.208 -1.913 -0.536
-3.113 4.592 -0.536
-0.020 -0.026 9.848
Tl H Au
2 6 4
direct
0.120 0.880 0.250 Tl
0.880 0.120 0.750 Tl
0.308 0.044 0.936 H
0.044 0.308 0.436 H
0.564 0.436 0.750 H
0.956 0.692 0.564 H
0.436 0.564 0.250 H
0.692 0.956 0.064 H
0.452 0.203 0.569 Au
0.548 0.797 0.431 Au
0.797 0.548 0.931 Au
0.203 0.452 0.069 Au



[9]
TlH3Au, optimized geometry, DFT PBE; excess energy over the best structure of this formula in the dataset = 0 meV per atom; theoretical density = 9.01 g cm⁻³; magnetization = 0.0 μB per formula unit; E_tot = -2.998 eV per atom; volume = 149.0 Å³/cell
1.0
3.195 0.000 1.742
0.000 6.890 0.000
3.483 0.000 8.669
H Tl Au
6 2 2
direct
0.249 0.492 0.750 H
0.751 0.992 0.250 H
0.749 0.250 0.750 H
0.249 0.008 0.750 H
0.251 0.750 0.250 H
0.751 0.508 0.250 H
0.748 0.750 0.750 Tl
0.252 0.250 0.250 Tl
0.751 0.750 0.250 Au
0.249 0.250 0.750 Au



[10]
TlH4Au2, optimized geometry, DFT PBE; excess energy over the best structure of this formula in the dataset = 379 meV per atom; theoretical density = 10.25 g cm⁻³; magnetization = 0.0 μB per formula unit; E_tot = -2.572 eV per atom; volume = 97.5 Å³/cell
1.0
4.360 0.000 0.000
0.000 4.360 0.000
2.180 2.180 5.131
Au H Tl
2 4 1
direct
0.369 0.369 0.261 Au
0.631 0.631 0.739 Au
0.209 0.209 0.583 H
0.500 0.000 0.000 H
0.791 0.791 0.417 H
0.000 0.500 0.000 H
0.000 0.000 0.000 Tl



[11]
TlHAu2, optimized geometry, DFT PBE; excess energy over the best structure of this formula in the dataset = 173 meV per atom; theoretical density = 14.32 g cm⁻³; magnetization = 0.0 μB per formula unit; E_tot = -2.699 eV per atom; volume = 69.5 Å³/cell
1.0
3.053 0.000 0.000
1.527 2.644 0.000
1.527 0.881 8.608
H Au Tl
1 2 1
direct
0.500 0.500 0.500 H
0.885 0.885 0.346 Au
0.115 0.115 0.654 Au
0.000 0.000 0.000 Tl



[12]
TlH4Au2, optimized geometry, DFT PBE; excess energy over the best structure of this formula in the dataset = 0 meV per atom; theoretical density = 10.31 g cm⁻³; magnetization = 0.0 μB per formula unit; E_tot = -2.951 eV per atom; volume = 97.0 Å³/cell
1.0
2.916 4.543 12.541
3.595 3.459 9.251
4.789 10.137 12.817
H Tl Au
4 1 2
direct
0.553 0.446 0.362 H
0.447 0.554 0.638 H
0.219 0.775 0.824 H
0.781 0.225 0.176 H
0.000 0.000 0.000 Tl
0.074 0.923 0.358 Au
0.926 0.077 0.642 Au



[13]
TlHAu2, optimized geometry, DFT PBE; excess energy over the best structure of this formula in the dataset = 459 meV per atom; theoretical density = 13.66 g cm⁻³; magnetization = 0.0 μB per formula unit; E_tot = -2.413 eV per atom; volume = 72.9 Å³/cell
1.0
-0.233 -3.013 3.585
-4.170 -1.473 1.557
-1.349 -4.428 -0.744
Au Tl H
2 1 1
direct
0.250 0.250 0.250 Au
0.750 0.750 0.750 Au
0.500 0.500 0.500 Tl
0.000 0.000 0.000 H



[14]
Tl3H2Au2, optimized geometry, DFT PBE; theoretical density = 11.33 g cm⁻³; magnetization = 0.0 μB per formula unit; E_tot = -2.653 eV per atom; volume = 147.9 Å³/cell
1.0
-0.450 -0.588 -4.329
1.655 -3.367 -1.660
-7.034 -5.372 3.892
Tl H Au
3 2 2
direct
0.500 0.000 0.000 Tl
0.982 0.758 0.655 Tl
0.018 0.242 0.345 Tl
0.212 0.144 0.556 H
0.788 0.856 0.444 H
0.262 0.619 0.175 Au
0.738 0.381 0.825 Au



[15]
Tl2H3Au, optimized geometry, DFT PBE; theoretical density = 9.10 g cm⁻³; magnetization = 0.0 μB per formula unit; E_tot = -2.824 eV per atom; volume = 222.3 Å³/cell
1.0
-4.199 -4.952 2.224
5.078 0.183 -4.612
8.283 3.295 2.587
Tl H Au
4 6 2
direct
0.941 0.757 0.911 Tl
0.654 0.970 0.411 Tl
0.059 0.243 0.089 Tl
0.346 0.030 0.589 Tl
0.118 0.868 0.250 H
0.176 0.631 0.806 H
0.676 0.630 0.306 H
0.882 0.132 0.750 H
0.324 0.370 0.694 H
0.824 0.369 0.194 H
0.219 0.469 0.750 Au
0.781 0.531 0.250 Au



[16]
Tl4HAu2, optimized geometry, DFT PBE; theoretical density = 11.78 g cm⁻³; magnetization = 0.0 μB per formula unit; E_tot = -2.604 eV per atom; volume = 170.9 Å³/cell
1.0
4.613 0.000 0.000
0.000 4.613 0.000
-2.307 -2.307 8.031
H Au Tl
1 2 4
direct
0.000 0.000 0.000 H
0.636 0.636 0.271 Au
0.364 0.364 0.729 Au
0.500 0.000 0.000 Tl
0.180 0.180 0.360 Tl
0.000 0.500 0.000 Tl
0.820 0.820 0.640 Tl



[17]
Tl3H4Au2, optimized geometry, DFT PBE; theoretical density = 11.08 g cm⁻³; magnetization = 0.0 μB per formula unit; E_tot = -2.714 eV per atom; volume = 151.5 Å³/cell
1.0
-3.037 1.265 -1.005
-4.949 -2.744 5.614
-5.591 0.374 11.484
Au Tl H
2 3 4
direct
0.300 0.699 0.702 Au
0.700 0.301 0.298 Au
0.000 0.000 0.000 Tl
0.625 0.107 0.643 Tl
0.375 0.893 0.357 Tl
0.337 0.336 0.989 H
0.014 0.223 0.748 H
0.663 0.664 0.011 H
0.986 0.777 0.252 H



[18]
Tl2HAu, optimized geometry, DFT PBE; excess energy over the best structure of this formula in the dataset = 0 meV per atom; theoretical density = 11.60 g cm⁻³; magnetization = 0.0 μB per formula unit; E_tot = -2.615 eV per atom; volume = 173.8 Å³/cell
1.0
3.524 0.000 0.000
-1.762 7.178 0.525
0.000 0.929 6.937
H Au Tl
2 2 4
direct
0.683 0.366 0.974 H
0.317 0.634 0.026 H
0.398 0.796 0.483 Au
0.602 0.204 0.517 Au
0.953 0.907 0.795 Tl
0.047 0.093 0.205 Tl
0.785 0.570 0.233 Tl
0.215 0.430 0.767 Tl



[19]
Tl2HAu, optimized geometry, DFT PBE; excess energy over the best structure of this formula in the dataset = 63 meV per atom; theoretical density = 9.76 g cm⁻³; magnetization = 0.0 μB per formula unit; E_tot = -2.552 eV per atom; volume = 206.4 Å³/cell
1.0
-2.622 5.098 -0.972
-1.556 -1.811 -5.302
-7.285 -0.593 -0.849
Tl H Au
4 2 2
direct
0.206 0.625 0.250 Tl
0.875 0.794 0.750 Tl
0.375 0.456 0.750 Tl
0.544 0.125 0.250 Tl
0.500 0.500 0.000 H
0.250 0.750 0.500 H
0.750 0.250 0.500 Au
0.000 0.000 0.000 Au



[20]
Tl4H5Au2, optimized geometry, DFT PBE; theoretical density = 10.20 g cm⁻³; magnetization = 0.0 μB per formula unit; E_tot = -2.754 eV per atom; volume = 198.0 Å³/cell
1.0
-2.655 2.208 0.666
1.169 -0.458 3.310
9.225 13.803 3.104
Au Tl H
2 4 5
direct
0.088 0.928 0.720 Au
0.912 0.072 0.280 Au
0.379 0.327 0.902 Tl
0.306 0.370 0.414 Tl
0.621 0.673 0.098 Tl
0.694 0.630 0.586 Tl
0.000 0.500 0.000 H
0.055 0.820 0.827 H
0.073 0.431 0.716 H
0.945 0.180 0.173 H
0.927 0.569 0.284 H



[21]
Tl4H2Au, optimized geometry, DFT PBE; theoretical density = 8.84 g cm⁻³; magnetization = 0.0 μB per formula unit; E_tot = -2.622 eV per atom; volume = 190.9 Å³/cell
1.0
-5.507 1.310 -0.359
-1.328 -5.508 0.271
-3.716 -1.735 5.873
Tl H Au
4 2 1
direct
0.500 0.000 0.000 Tl
0.754 0.754 0.491 Tl
0.246 0.246 0.509 Tl
0.000 0.500 0.000 Tl
0.467 0.467 0.066 H
0.533 0.533 0.934 H
0.000 0.000 0.000 Au



[22]
Tl3HAu, optimized geometry, DFT PBE; excess energy over the best structure of this formula in the dataset = 0 meV per atom; theoretical density = 11.14 g cm⁻³; magnetization = 0.0 μB per formula unit; E_tot = -2.602 eV per atom; volume = 241.8 Å³/cell
1.0
-1.109 6.328 1.304
-3.655 -4.194 -3.467
-2.154 -6.943 5.276
Au Tl H
2 6 2
direct
0.747 0.747 0.000 Au
0.253 0.253 0.000 Au
0.920 0.241 0.161 Tl
0.743 0.617 0.360 Tl
0.595 0.108 0.703 Tl
0.080 0.759 0.839 Tl
0.257 0.383 0.640 Tl
0.405 0.892 0.297 Tl
0.264 0.764 0.500 H
0.736 0.236 0.500 H



[23]
Tl2HAu2, optimized geometry, DFT PBE; excess energy over the best structure of this formula in the dataset = 0 meV per atom; theoretical density = 13.32 g cm⁻³; magnetization = 0.0 μB per formula unit; E_tot = -2.665 eV per atom; volume = 200.3 Å³/cell
1.0
-2.871 0.163 -5.100
3.334 -4.370 -2.016
-3.856 -3.885 2.046
H Tl Au
2 4 4
direct
0.000 0.000 0.000 H
0.500 0.500 0.000 H
0.316 0.184 0.500 Tl
0.816 0.316 0.500 Tl
0.184 0.684 0.500 Tl
0.684 0.816 0.500 Tl
0.810 0.690 0.000 Au
0.690 0.190 0.000 Au
0.190 0.310 0.000 Au
0.310 0.810 0.000 Au



[24]
Tl2HAu, optimized geometry, DFT PBE; excess energy over the best structure of this formula in the dataset = 81 meV per atom; theoretical density = 11.65 g cm⁻³; magnetization = 0.0 μB per formula unit; E_tot = -2.534 eV per atom; volume = 86.5 Å³/cell
1.0
0.000 3.510 3.510
3.510 0.000 3.510
3.510 3.510 0.000
Tl Au H
2 1 1
direct
0.750 0.750 0.750 Tl
0.250 0.250 0.250 Tl
0.500 0.500 0.500 Au
0.000 0.000 0.000 H



[25]
TlH3Au, optimized geometry, DFT PBE; excess energy over the best structure of this formula in the dataset = 756 meV per atom; theoretical density = 10.26 g cm⁻³; magnetization = 0.0 μB per formula unit; E_tot = -2.242 eV per atom; volume = 65.5 Å³/cell
1.0
4.030 0.000 0.000
0.000 4.030 0.000
0.000 0.000 4.030
H Au Tl
3 1 1
direct
0.000 0.500 0.000 H
0.000 0.000 0.500 H
0.500 0.000 0.000 H
0.500 0.500 0.500 Au
0.000 0.000 0.000 Tl